(1)
The following is a GGA-PBE calculation of crystalline NbAlW2N at its relaxed geometry, from Alexandria via LeMat-Bulk.

## Properties
N(E_F) = 3.041 states/eV per cell

Structure (CIF):
```
data_NbAlW2N
_cell_length_a 4.0812
_cell_length_b 4.0812
_cell_length_c 4.3544
_cell_angle_alpha 90.00
_cell_angle_beta 90.00
_cell_angle_gamma 90.00
_space_group_name_H-M_alt 'P 4/m m m'
_space_group_IT_number 123
_space_group_name_Hall '-P 4 2'
loop_
_atom_site_label
_atom_site_type_symbol
_atom_site_fract_x
_atom_site_fract_y
_atom_site_fract_z
_atom_site_occupancy
Nb1 Nb 0.0000 0.0000 0.0000 1
Al1 Al 0.5000 0.5000 0.0000 1
W1 W 0.0000 0.5000 0.5000 1
N1 N 0.5000 0.5000 0.5000 1
```

***

(2)
The following is a GGA-PBE calculation of crystalline NbAlWN2 at its relaxed geometry, from Alexandria via LeMat-Bulk.

## Properties
N(E_F) = 3.662 states/eV per cell

Structure (CIF):
```
data_NbAlWN2
_cell_length_a 3.9252
_cell_length_b 3.9252
_cell_length_c 5.4434
_cell_angle_alpha 90.00
_cell_angle_beta 90.00
_cell_angle_gamma 90.00
_space_group_name_H-M_alt 'P 4/m m m'
_space_group_IT_number 123
_space_group_name_Hall '-P 4 2'
loop_
_atom_site_label
_atom_site_type_symbol
_atom_site_fract_x
_atom_site_fract_y
_atom_site_fract_z
_atom_site_occupancy
Nb1 Nb 0.0000 0.0000 0.0000 1
Al1 Al 0.5000 0.5000 0.0000 1
W1 W 0.0000 0.0000 0.5000 1
N1 N 0.0000 0.5000 0.5000 1
```

***

(3)
The following is a GGA-PBE calculation of crystalline Y2NbAlN at its relaxed geometry, from Alexandria via LeMat-Bulk.

## Properties
N(E_F) = 2.694 states/eV per cell

Structure (CIF):
```
data_Y2NbAlN
_cell_length_a 4.8374
_cell_length_b 4.8374
_cell_length_c 4.2085
_cell_angle_alpha 90.00
_cell_angle_beta 90.00
_cell_angle_gamma 90.00
_space_group_name_H-M_alt 'P 4/m m m'
_space_group_IT_number 123
_space_group_name_Hall '-P 4 2'
loop_
_atom_site_label
_atom_site_type_symbol
_atom_site_fract_x
_atom_site_fract_y
_atom_site_fract_z
_atom_site_occupancy
Y1 Y 0.0000 0.5000 0.0000 1
Nb1 Nb 0.0000 0.0000 0.5000 1
Al1 Al 0.5000 0.5000 0.5000 1
N1 N 0.0000 0.0000 0.0000 1
```

***

(4)
The following is a GGA-PBE calculation of crystalline ZrNb2AlN at its relaxed geometry, from Alexandria via LeMat-Bulk.

## Properties
N(E_F) = 3.988 states/eV per cell

Structure (CIF):
```
data_ZrNb2AlN
_cell_length_a 4.2083
_cell_length_b 4.2083
_cell_length_c 4.6109
_cell_angle_alpha 90.00
_cell_angle_beta 90.00
_cell_angle_gamma 90.00
_space_group_name_H-M_alt 'P 4/m m m'
_space_group_IT_number 123
_space_group_name_Hall '-P 4 2'
loop_
_atom_site_label
_atom_site_type_symbol
_atom_site_fract_x
_atom_site_fract_y
_atom_site_fract_z
_atom_site_occupancy
Zr1 Zr 0.0000 0.0000 0.0000 1
Nb1 Nb 0.0000 0.5000 0.5000 1
Al1 Al 0.5000 0.5000 0.0000 1
N1 N 0.0000 0.0000 0.5000 1
```

***

(5)
The following is a GGA-PBE calculation of crystalline Nd12Al3N5 at its relaxed geometry, from Alexandria via LeMat-Bulk.

## Properties
N(E_F) = 136.420 states/eV per cell

Structure (CIF):
```
data_Nd12Al3N5
_cell_length_a 16.0827
_cell_length_b 16.0827
_cell_length_c 16.0827
_cell_angle_alpha 90.00
_cell_angle_beta 90.00
_cell_angle_gamma 90.00
_space_group_name_H-M_alt 'I a -3 d'
_space_group_IT_number 230
_space_group_name_Hall '-I 4bd 2c 3'
loop_
_atom_site_label
_atom_site_type_symbol
_atom_site_fract_x
_atom_site_fract_y
_atom_site_fract_z
_atom_site_occupancy
Nd1 Nd 0.0353 0.0527 0.6483 1
Al1 Al 0.0000 0.2500 0.1250 1
N1 N 0.0000 0.0000 0.0000 1
N2 N 0.0000 0.2500 0.3750 1
```

***

(6)
The following is a GGA-PBE calculation of crystalline Nd2AlN at its relaxed geometry, from Alexandria via LeMat-Bulk.

## Properties
N(E_F) = 7.430 states/eV per cell

Structure (CIF):
```
data_Nd2AlN
_cell_length_a 3.5393
_cell_length_b 3.5393
_cell_length_c 27.6091
_cell_angle_alpha 90.00
_cell_angle_beta 90.00
_cell_angle_gamma 120.00
_space_group_name_H-M_alt 'R -3 m'
_space_group_IT_number 166
_space_group_name_Hall '-R 3 2"'
loop_
_atom_site_label
_atom_site_type_symbol
_atom_site_fract_x
_atom_site_fract_y
_atom_site_fract_z
_atom_site_occupancy
Nd1 Nd 0.0000 0.0000 0.1160 1
Al1 Al 0.0000 0.0000 0.0000 1
N1 N 0.0000 0.0000 0.5000 1
```

***

(7)
The following is a GGA-PBE calculation of crystalline NdAlN at its relaxed geometry, from Alexandria via LeMat-Bulk.

## Properties
N(E_F) = 3.160 states/eV per cell

Structure (CIF):
```
data_NdAlN
_cell_length_a 3.6450
_cell_length_b 3.6450
_cell_length_c 17.9754
_cell_angle_alpha 90.00
_cell_angle_beta 90.00
_cell_angle_gamma 90.00
_space_group_name_H-M_alt 'I 4/m m m'
_space_group_IT_number 139
_space_group_name_Hall '-I 4 2'
loop_
_atom_site_label
_atom_site_type_symbol
_atom_site_fract_x
_atom_site_fract_y
_atom_site_fract_z
_atom_site_occupancy
Nd1 Nd 0.0000 0.0000 0.1821 1
Al1 Al 0.0000 0.0000 0.4260 1
N1 N 0.0000 0.0000 0.3181 1
```

***

(8)
The following is a GGA-PBE calculation of crystalline NdAlNiN at its relaxed geometry, from Alexandria via LeMat-Bulk.

## Properties
N(E_F) = 2.968 states/eV per cell

Structure (CIF):
```
data_NdAlNiN
_cell_length_a 3.7447
_cell_length_b 3.7447
_cell_length_c 8.9292
_cell_angle_alpha 90.00
_cell_angle_beta 90.00
_cell_angle_gamma 90.00
_space_group_name_H-M_alt 'P 4/n m m'
_space_group_IT_number 129
loop_
_space_group_symop_operation_xyz
'x,y,z'
'-x,-y,-z'
'-y+1/2,x,z'
'y+1/2,-x,-z'
'-x+1/2,-y+1/2,z'
'x+1/2,y+1/2,-z'
'y,-x+1/2,z'
'-y,x+1/2,-z'
'x+1/2,-y,-z'
'-x+1/2,y,z'
'-y,-x,-z'
'y,x,z'
'-x,y+1/2,-z'
'x,-y+1/2,z'
'y+1/2,x+1/2,-z'
'-y+1/2,-x+1/2,z'
loop_
_atom_site_label
_atom_site_type_symbol
_atom_site_fract_x
_atom_site_fract_y
_atom_site_fract_z
_atom_site_occupancy
Nd1 Nd 0.2500 0.2500 0.1416 1
Al1 Al 0.2500 0.2500 0.6616 1
Ni1 Ni 0.2500 0.7500 0.5000 1
N1 N 0.2500 0.2500 0.8732 1
```

***

(9)
The following is a GGA-PBE calculation of crystalline Nd2NpAlN5 at its relaxed geometry, from Alexandria via LeMat-Bulk.

## Properties
N(E_F) = 7.219 states/eV per cell

Structure (CIF):
```
data_Nd2NpAlN5
_cell_length_a 3.4359
_cell_length_b 13.9430
_cell_length_c 10.3661
_cell_angle_alpha 90.00
_cell_angle_beta 90.00
_cell_angle_gamma 90.00
_space_group_name_H-M_alt 'C m c 21'
_space_group_IT_number 36
_space_group_name_Hall 'C 2c -2'
loop_
_atom_site_label
_atom_site_type_symbol
_atom_site_fract_x
_atom_site_fract_y
_atom_site_fract_z
_atom_site_occupancy
Nd1 Nd 0.0000 0.1060 0.0000 1
Nd2 Nd 0.0000 0.1255 0.6031 1
Np1 Np 0.0000 0.2132 0.3128 1
Al1 Al 0.0000 0.4858 0.7726 1
N1 N 0.0000 0.0556 0.3364 1
N2 N 0.0000 0.2829 0.9423 1
N3 N 0.0000 0.2988 0.6858 1
N4 N 0.0000 0.3695 0.3077 1
N5 N 0.0000 0.4981 0.0905 1
```

***

(10)
The following is a GGA-PBE calculation of crystalline Nd2AlNO3 at its relaxed geometry, from Alexandria via LeMat-Bulk.

Structure (CIF):
```
data_Nd2AlNO3
_cell_length_a 3.7343
_cell_length_b 3.7343
_cell_length_c 12.6048
_cell_angle_alpha 90.00
_cell_angle_beta 90.00
_cell_angle_gamma 90.00
_space_group_name_H-M_alt 'I 4 m m'
_space_group_IT_number 107
_space_group_name_Hall 'I 4 -2'
loop_
_atom_site_label
_atom_site_type_symbol
_atom_site_fract_x
_atom_site_fract_y
_atom_site_fract_z
_atom_site_occupancy
Nd1 Nd 0.0000 0.0000 0.0000 1
Nd2 Nd 0.0000 0.0000 0.2890 1
Al1 Al 0.0000 0.0000 0.6374 1
N1 N 0.0000 0.0000 0.4774 1
O1 O 0.0000 0.0000 0.8113 1
O2 O 0.0000 0.5000 0.1509 1
```

***

(11)
The following is a GGA-PBE calculation of crystalline PmNd12Al4N3 at its relaxed geometry, from Alexandria via LeMat-Bulk.

## Properties
N(E_F) = 28.444 states/eV per cell

Structure (CIF):
```
data_PmNd12Al4N3
_cell_length_a 10.1863
_cell_length_b 10.1863
_cell_length_c 10.1863
_cell_angle_alpha 90.00
_cell_angle_beta 90.00
_cell_angle_gamma 90.00
_space_group_name_H-M_alt 'I m -3 m'
_space_group_IT_number 229
_space_group_name_Hall '-I 4 2 3'
loop_
_atom_site_label
_atom_site_type_symbol
_atom_site_fract_x
_atom_site_fract_y
_atom_site_fract_z
_atom_site_occupancy
Pm1 Pm 0.0000 0.0000 0.0000 1
Nd1 Nd 0.0000 0.0000 0.2737 1
Nd2 Nd 0.0000 0.2500 0.5000 1
Al1 Al 0.2500 0.2500 0.2500 1
N1 N 0.0000 0.0000 0.5000 1
```

***

(12)
The following is a GGA-PBE calculation of crystalline PmNd2AlN at its relaxed geometry, from Alexandria via LeMat-Bulk.

## Properties
N(E_F) = 2.983 states/eV per cell

Structure (CIF):
```
data_PmNd2AlN
_cell_length_a 4.9988
_cell_length_b 4.9988
_cell_length_c 4.9517
_cell_angle_alpha 90.00
_cell_angle_beta 90.00
_cell_angle_gamma 90.00
_space_group_name_H-M_alt 'P 4/m m m'
_space_group_IT_number 123
_space_group_name_Hall '-P 4 2'
loop_
_atom_site_label
_atom_site_type_symbol
_atom_site_fract_x
_atom_site_fract_y
_atom_site_fract_z
_atom_site_occupancy
Pm1 Pm 0.0000 0.0000 0.0000 1
Nd1 Nd 0.0000 0.5000 0.5000 1
Al1 Al 0.5000 0.5000 0.0000 1
N1 N 0.0000 0.0000 0.5000 1
```

***

(13)
The following is a GGA-PBE calculation of crystalline Pm12NdAl4N3 at its relaxed geometry, from Alexandria via LeMat-Bulk.

## Properties
N(E_F) = 27.357 states/eV per cell

Structure (CIF):
```
data_Pm12NdAl4N3
_cell_length_a 10.1103
_cell_length_b 10.1103
_cell_length_c 10.1103
_cell_angle_alpha 90.00
_cell_angle_beta 90.00
_cell_angle_gamma 90.00
_space_group_name_H-M_alt 'I m -3 m'
_space_group_IT_number 229
_space_group_name_Hall '-I 4 2 3'
loop_
_atom_site_label
_atom_site_type_symbol
_atom_site_fract_x
_atom_site_fract_y
_atom_site_fract_z
_atom_site_occupancy
Pm1 Pm 0.0000 0.0000 0.2742 1
Pm2 Pm 0.0000 0.2500 0.5000 1
Nd1 Nd 0.0000 0.0000 0.0000 1
Al1 Al 0.2500 0.2500 0.2500 1
N1 N 0.0000 0.0000 0.5000 1
```

***

(14)
The following is a GGA-PBE calculation of crystalline PrNd12Al4N3 at its relaxed geometry, from Alexandria via LeMat-Bulk.

## Properties
N(E_F) = 28.056 states/eV per cell

Structure (CIF):
```
data_PrNd12Al4N3
_cell_length_a 10.2125
_cell_length_b 10.2125
_cell_length_c 10.2125
_cell_angle_alpha 90.00
_cell_angle_beta 90.00
_cell_angle_gamma 90.00
_space_group_name_H-M_alt 'I m -3 m'
_space_group_IT_number 229
_space_group_name_Hall '-I 4 2 3'
loop_
_atom_site_label
_atom_site_type_symbol
_atom_site_fract_x
_atom_site_fract_y
_atom_site_fract_z
_atom_site_occupancy
Pr1 Pr 0.0000 0.0000 0.0000 1
Nd1 Nd 0.0000 0.0000 0.2749 1
Nd2 Nd 0.0000 0.2500 0.5000 1
Al1 Al 0.2500 0.2500 0.2500 1
N1 N 0.0000 0.0000 0.5000 1
```

***

(15)
The following is a GGA-PBE calculation of crystalline Pr12NdAl4N3 at its relaxed geometry, from Alexandria via LeMat-Bulk.

## Properties
N(E_F) = 28.421 states/eV per cell

Structure (CIF):
```
data_Pr12NdAl4N3
_cell_length_a 10.2884
_cell_length_b 10.2884
_cell_length_c 10.2884
_cell_angle_alpha 90.00
_cell_angle_beta 90.00
_cell_angle_gamma 90.00
_space_group_name_H-M_alt 'I m -3 m'
_space_group_IT_number 229
_space_group_name_Hall '-I 4 2 3'
loop_
_atom_site_label
_atom_site_type_symbol
_atom_site_fract_x
_atom_site_fract_y
_atom_site_fract_z
_atom_site_occupancy
Pr1 Pr 0.0000 0.0000 0.2743 1
Pr2 Pr 0.0000 0.2500 0.5000 1
Nd1 Nd 0.0000 0.0000 0.0000 1
Al1 Al 0.2500 0.2500 0.2500 1
N1 N 0.0000 0.0000 0.5000 1
```

***

(16)
The following is a GGA-PBE calculation of crystalline Pr2NdAlN at its relaxed geometry, from Alexandria via LeMat-Bulk.

## Properties
N(E_F) = 3.112 states/eV per cell

Structure (CIF):
```
data_Pr2NdAlN
_cell_length_a 5.0460
_cell_length_b 5.0460
_cell_length_c 4.9998
_cell_angle_alpha 90.00
_cell_angle_beta 90.00
_cell_angle_gamma 90.00
_space_group_name_H-M_alt 'P 4/m m m'
_space_group_IT_number 123
_space_group_name_Hall '-P 4 2'
loop_
_atom_site_label
_atom_site_type_symbol
_atom_site_fract_x
_atom_site_fract_y
_atom_site_fract_z
_atom_site_occupancy
Pr1 Pr 0.0000 0.5000 0.0000 1
Nd1 Nd 0.0000 0.0000 0.5000 1
Al1 Al 0.5000 0.5000 0.5000 1
N1 N 0.0000 0.0000 0.0000 1
```

***

(17)
The following is a GGA-PBE calculation of crystalline NdSm12Al4N3 at its relaxed geometry, from Alexandria via LeMat-Bulk.

## Properties
N(E_F) = 27.387 states/eV per cell

Structure (CIF):
```
data_NdSm12Al4N3
_cell_length_a 10.0524
_cell_length_b 10.0524
_cell_length_c 10.0524
_cell_angle_alpha 90.00
_cell_angle_beta 90.00
_cell_angle_gamma 90.00
_space_group_name_H-M_alt 'I m -3 m'
_space_group_IT_number 229
_space_group_name_Hall '-I 4 2 3'
loop_
_atom_site_label
_atom_site_type_symbol
_atom_site_fract_x
_atom_site_fract_y
_atom_site_fract_z
_atom_site_occupancy
Nd1 Nd 0.0000 0.0000 0.0000 1
Sm1 Sm 0.0000 0.0000 0.2742 1
Sm2 Sm 0.0000 0.2500 0.5000 1
Al1 Al 0.2500 0.2500 0.2500 1
N1 N 0.0000 0.0000 0.5000 1
```

***

(18)
The following is a GGA-PBE calculation of crystalline Nd2SmAlN at its relaxed geometry, from Alexandria via LeMat-Bulk.

## Properties
N(E_F) = 2.872 states/eV per cell

Structure (CIF):
```
data_Nd2SmAlN
_cell_length_a 4.9989
_cell_length_b 4.9989
_cell_length_c 4.9192
_cell_angle_alpha 90.00
_cell_angle_beta 90.00
_cell_angle_gamma 90.00
_space_group_name_H-M_alt 'P 4/m m m'
_space_group_IT_number 123
_space_group_name_Hall '-P 4 2'
loop_
_atom_site_label
_atom_site_type_symbol
_atom_site_fract_x
_atom_site_fract_y
_atom_site_fract_z
_atom_site_occupancy
Nd1 Nd 0.0000 0.5000 0.0000 1
Sm1 Sm 0.0000 0.0000 0.5000 1
Al1 Al 0.5000 0.5000 0.5000 1
N1 N 0.0000 0.0000 0.0000 1
```

***

(19)
The following is a GGA-PBE calculation of crystalline TbNd2AlN at its relaxed geometry, from Alexandria via LeMat-Bulk.

## Properties
N(E_F) = 2.461 states/eV per cell

Structure (CIF):
```
data_TbNd2AlN
_cell_length_a 5.0034
_cell_length_b 5.0034
_cell_length_c 4.8046
_cell_angle_alpha 90.00
_cell_angle_beta 90.00
_cell_angle_gamma 90.00
_space_group_name_H-M_alt 'P 4/m m m'
_space_group_IT_number 123
_space_group_name_Hall '-P 4 2'
loop_
_atom_site_label
_atom_site_type_symbol
_atom_site_fract_x
_atom_site_fract_y
_atom_site_fract_z
_atom_site_occupancy
Tb1 Tb 0.0000 0.0000 0.0000 1
Nd1 Nd 0.0000 0.5000 0.5000 1
Al1 Al 0.5000 0.5000 0.0000 1
N1 N 0.0000 0.0000 0.5000 1
```

***

Result set for energy relative to the elements, uncorrected: -0.03; 0.82; -0.74; -0.63; -0.67; -0.43; -0.72; -0.90; -1.20; -2.73; -0.33; -0.76; -0.35; -0.33; -0.31; -0.72; -0.35; -0.77; -0.79 eV/atom, one per record in the order listed.